No. 1
Below is Pr2TmTl4 after structural relaxation, with properties calculated at the PBE level.

```
data_Pr2TmTl4
_chemical_formula_sum 'Pr4 Tm2 Tl8'
_cell_length_a 5.722
_cell_length_b 5.722
_cell_length_c 16.054
_cell_angle_alpha 90.00
_cell_angle_beta 90.00
_cell_angle_gamma 90.00
_space_group_name_H-M_alt 'I 4/m m m'
_space_group_IT_number 139
_space_group_name_Hall '-I 4 2'
loop_
_atom_site_label
_atom_site_fract_x
_atom_site_fract_y
_atom_site_fract_z
Pr1 0.000 0.000 0.108
Tm1 0.000 0.000 0.500
Tl1 0.000 0.000 0.310
Tl2 0.000 0.500 0.000
```

Properties
The calculation puts the energy above the lowest structure with this stoichiometry at 340 meV per atom. The energy of formation comes out at 102 meV per atom. The total magnetic moment comes out at 0.000 μB/f.u. The value obtained for the mass density is 8015 kg/m³.


No. 2
Below is Pr12Tm2Tl after structural relaxation, with properties calculated at the PBE level.

```
data_Pr12Tm2Tl
_chemical_formula_sum 'Pr24 Tm4 Tl2'
_cell_length_a 6.764
_cell_length_b 6.764
_cell_length_c 24.128
_cell_angle_alpha 90.00
_cell_angle_beta 90.00
_cell_angle_gamma 90.00
_space_group_name_H-M_alt 'P 4/n b m'
_space_group_IT_number 125
loop_
_space_group_symop_operation_xyz
'x,y,z'
'-x,-y,-z'
'-y+1/2,x,z'
'y+1/2,-x,-z'
'-x+1/2,-y+1/2,z'
'x+1/2,y+1/2,-z'
'y,-x+1/2,z'
'-y,x+1/2,-z'
'x,-y+1/2,-z'
'-x,y+1/2,z'
'-y+1/2,-x+1/2,-z'
'y+1/2,x+1/2,z'
'-x+1/2,y,-z'
'x+1/2,-y,z'
'y,x,-z'
'-y,-x,z'
loop_
_atom_site_label
_atom_site_fract_x
_atom_site_fract_y
_atom_site_fract_z
Pr1 0.005 0.505 0.093
Pr2 0.083 0.583 0.566
Pr3 0.250 0.250 0.200
Pr4 0.250 0.250 0.327
Tm1 0.250 0.750 0.250
Tl1 0.250 0.750 0.000
```

Properties
The energy of formation comes out at 246 meV per atom. The total magnetic moment comes out at 0.000 μB/f.u. The value obtained for the mass density is 6718 kg/m³.


No. 3
Below is Pr6Tm12Tl after structural relaxation, with properties calculated at the PBE level.

```
data_Pr6Tm12Tl
_chemical_formula_sum 'Pr18 Tm36 Tl3'
_cell_length_a 11.9125
_cell_length_b 11.9125
_cell_length_c 14.8386
_cell_angle_alpha 90.00
_cell_angle_beta 90.00
_cell_angle_gamma 120.00
_space_group_name_H-M_alt 'R -3'
_space_group_IT_number 148
_space_group_name_Hall '-R 3'
loop_
_atom_site_label
_atom_site_fract_x
_atom_site_fract_y
_atom_site_fract_z
Pr1 0.0102 0.4200 0.1812
Tm1 0.0041 0.8301 0.6873
Tm2 0.0451 0.8534 0.9163
Tl1 0.0000 0.0000 0.5000
```

Properties
The energy of formation comes out at 88 meV per atom. The total magnetic moment comes out at 0.000 μB/f.u. The value obtained for the mass density is 8406 kg/m³.


No. 4
Below is Pr2TmTl2 after structural relaxation, with properties calculated at the PBE level.

```
data_Pr2TmTl2
_chemical_formula_sum 'Pr4 Tm2 Tl4'
_cell_length_a 8.203
_cell_length_b 8.203
_cell_length_c 4.667
_cell_angle_alpha 90.00
_cell_angle_beta 90.00
_cell_angle_gamma 90.00
_space_group_name_H-M_alt 'P 4/m b m'
_space_group_IT_number 127
_space_group_name_Hall '-P 4 2ab'
loop_
_atom_site_label
_atom_site_fract_x
_atom_site_fract_y
_atom_site_fract_z
Pr1 0.171 0.329 0.000
Tm1 0.000 0.000 0.500
Tl1 0.132 0.632 0.500
```

Properties
The calculation puts the energy above the lowest structure with this stoichiometry at 0 meV per atom. The energy of formation comes out at -315 meV per atom. The total magnetic moment comes out at 0.000 μB/f.u. The value obtained for the mass density is 9091 kg/m³.


No. 5
Below is PrTmTl2 after structural relaxation, with properties calculated at the PBE level.

```
data_PrTmTl2
_chemical_formula_sum 'Pr1 Tm1 Tl2'
_cell_length_a 5.108
_cell_length_b 5.108
_cell_length_c 4.366
_cell_angle_alpha 90.00
_cell_angle_beta 90.00
_cell_angle_gamma 90.00
_space_group_name_H-M_alt 'P 4/m m m'
_space_group_IT_number 123
_space_group_name_Hall '-P 4 2'
loop_
_atom_site_label
_atom_site_fract_x
_atom_site_fract_y
_atom_site_fract_z
Pr1 0.000 0.000 0.000
Tm1 0.500 0.500 0.000
Tl1 0.000 0.500 0.500
```

Properties
The calculation puts the energy above the lowest structure with this stoichiometry at 23 meV per atom. The energy of formation comes out at -331 meV per atom. The total magnetic moment comes out at 0.001 μB/f.u. The value obtained for the mass density is 10475 kg/m³.


No. 6
Below is Pr3Tm2Tl after structural relaxation, with properties calculated at the PBE level.

```
data_Pr3Tm2Tl
_chemical_formula_sum 'Pr6 Tm4 Tl2'
_cell_length_a 6.610
_cell_length_b 6.675
_cell_length_c 10.109
_cell_angle_alpha 101.00
_cell_angle_beta 100.14
_cell_angle_gamma 114.28
_space_group_name_H-M_alt 'P -1'
_space_group_IT_number 2
loop_
_space_group_symop_operation_xyz
'x,y,z'
'-x,-y,-z'
loop_
_atom_site_label
_atom_site_fract_x
_atom_site_fract_y
_atom_site_fract_z
Pr1 0.108 0.362 0.259
Pr2 0.226 0.440 0.939
Pr3 0.326 0.553 0.618
Tm1 0.199 0.942 0.402
Tm2 0.288 0.010 0.067
Tl1 0.385 0.118 0.733
```

Properties
The calculation puts the energy above the lowest structure with this stoichiometry at 0 meV per atom. The energy of formation comes out at -98 meV per atom. The total magnetic moment comes out at 0.000 μB/f.u. The value obtained for the mass density is 8377 kg/m³.


No. 7
Below is PrY2TmTl2 after structural relaxation, with properties calculated at the PBE level.

```
data_PrY2TmTl2
_chemical_formula_sum 'Pr2 Y4 Tm2 Tl4'
_cell_length_a 5.119
_cell_length_b 10.056
_cell_length_c 6.917
_cell_angle_alpha 90.00
_cell_angle_beta 90.00
_cell_angle_gamma 90.00
_space_group_name_H-M_alt 'P m c 21'
_space_group_IT_number 26
loop_
_space_group_symop_operation_xyz
'x,y,z'
'-x,-y,z+1/2'
'-x,y,z'
'x,-y,z+1/2'
loop_
_atom_site_label
_atom_site_fract_x
_atom_site_fract_y
_atom_site_fract_z
Pr1 0.000 0.047 0.000
Y1 0.000 0.317 0.387
Y2 0.500 0.452 0.098
Tm1 0.500 0.194 0.719
Tl1 0.000 0.369 0.841
Tl2 0.500 0.134 0.268
```

Properties
The energy of formation comes out at -284 meV per atom. The total magnetic moment comes out at 0.000 μB/f.u. The value obtained for the mass density is 8361 kg/m³.


No. 8
Below is Pr2TlV after structural relaxation, with properties calculated at the PBE level.

```
data_Pr2TlV
_chemical_formula_sum 'Pr6 Tl3 V3'
_cell_length_a 3.4172
_cell_length_b 3.4172
_cell_length_c 34.1932
_cell_angle_alpha 90.00
_cell_angle_beta 90.00
_cell_angle_gamma 120.00
_space_group_name_H-M_alt 'R -3 m'
_space_group_IT_number 166
_space_group_name_Hall '-R 3 2"'
loop_
_atom_site_label
_atom_site_fract_x
_atom_site_fract_y
_atom_site_fract_z
Pr1 0.0000 0.0000 0.0835
Tl1 0.0000 0.0000 0.5000
V1 0.0000 0.0000 0.0000
```

Properties
The energy of formation comes out at 536 meV per atom. The total magnetic moment comes out at 3.004 μB/f.u. The value obtained for the mass density is 7738 kg/m³.


No. 9
Below is PrY4Tl2 after structural relaxation, with properties calculated at the PBE level.

```
data_PrY4Tl2
_chemical_formula_sum 'Pr3 Y12 Tl6'
_cell_length_a 5.1284
_cell_length_b 5.1284
_cell_length_c 31.5091
_cell_angle_alpha 90.00
_cell_angle_beta 90.00
_cell_angle_gamma 120.00
_space_group_name_H-M_alt 'R -3 m'
_space_group_IT_number 166
_space_group_name_Hall '-R 3 2"'
loop_
_atom_site_label
_atom_site_fract_x
_atom_site_fract_y
_atom_site_fract_z
Pr1 0.0000 0.0000 0.0000
Y1 0.0000 0.0000 0.2044
Y2 0.0000 0.0000 0.3912
Tl1 0.0000 0.0000 0.1021
```

Properties
The energy of formation comes out at 48 meV per atom. The total magnetic moment comes out at 1.014 μB/f.u. The value obtained for the mass density is 6284 kg/m³.